5
Lattice="-3.748 0.689 -2.834 2.993 -1.248 -4.261 -1.209 -4.566 0.489" Properties=species:S:1:pos:R:3 comment="KMgIr2Ru | Alexandria | PBE-GGA | relaxed" space_group="No. 123" e_form_ev_per_atom=1.2736 energy_ev_per_atom=-4.6644 pbc="T T T"
Ru 0.000 0.000 0.000
K 1.496 -0.624 -2.130
Ir -0.604 -2.283 0.244
Ir -1.874 0.344 -1.417
Mg -0.982 -2.563 -3.303


4
Lattice="4.871 0.009 0.000 2.172 4.360 0.000 -3.521 -2.184 2.560" Properties=species:S:1:pos:R:3 comment="FeMo2P | Alexandria | PBE-GGA | relaxed" space_group="No. 119" e_form_ev_per_atom=0.0295 energy_ev_per_atom=-8.8542 pbc="T T T"
Fe 2.435 0.005 1.280
Mo 0.000 0.000 0.000
Mo 1.086 2.180 1.280
P 3.521 2.184 0.000


4
Lattice="3.704 0.000 0.000 1.852 3.208 0.000 1.852 1.069 10.216" Properties=species:S:1:pos:R:3 comment="CePr2Cl | Alexandria | PBE-GGA | relaxed" space_group="No. 166" energy_ev_per_atom=-4.9728 pbc="T T T"
Pr 5.557 3.208 7.951
Pr 1.852 1.069 2.264
Ce 3.704 2.139 5.108
Cl 0.000 0.000 0.000


Repeat the first record exactly.
5
Lattice="-3.748 0.689 -2.834 2.993 -1.248 -4.261 -1.209 -4.566 0.489" Properties=species:S:1:pos:R:3 comment="KMgIr2Ru | Alexandria | PBE-GGA | relaxed" space_group="No. 123" e_form_ev_per_atom=1.2736 energy_ev_per_atom=-4.6644 pbc="T T T"
Ru 0.000 0.000 0.000
K 1.496 -0.624 -2.130
Ir -0.604 -2.283 0.244
Ir -1.874 0.344 -1.417
Mg -0.982 -2.563 -3.303


- What is the formula in the second record?
  FeMo2P